KIn2Sn2 meta-GGA SCAN single point on PBEsol structure; E = -29.474 eV per atom; crystal system = tetragonal; space group = No. 127; DFT formation energy = -0.09 eV/atom
1.0
9.0053 0.0000 0.0000
0.0000 9.0053 0.0000
0.0000 0.0000 3.5189
K In Sn
2 4 4
Cartesian
0.0000 0.0000 0.0000 K
4.5026 4.5026 0.0000 K
1.3644 3.1383 1.7595 In
3.1383 7.6409 1.7595 In
5.8670 1.3644 1.7595 In
7.6409 5.8670 1.7595 In
1.2297 5.7324 0.0000 Sn
3.2729 1.2297 0.0000 Sn
5.7324 7.7756 0.0000 Sn
7.7756 3.2729 0.0000 Sn

***

ZrZnRh2 meta-GGA SCAN single point on PBEsol structure; E = -28.547 eV per atom; crystal system = orthorhombic; space group = No. 25; DFT formation energy = -0.61 eV/atom
1.0
3.0129 0.0000 0.0000
0.0000 3.8599 0.0000
0.0000 0.0000 5.2722
Zr Zn Rh
1 1 2
Cartesian
0.0000 0.0000 0.0000 Zr
1.5065 1.9300 3.6974 Zn
0.0000 0.0000 2.7501 Rh
1.5065 1.9300 1.1493 Rh

***

PrGa2Ni meta-GGA SCAN single point on PBEsol structure; E = -23.768 eV per atom; crystal system = orthorhombic; space group = No. 65; DFT formation energy = -0.72 eV/atom
1.0
2.0855 -8.6648 0.0000
2.0855 8.6648 0.0000
0.0000 0.0000 4.1256
Pr Ga Ni
2 4 2
Cartesian
2.0855 6.2148 0.0000 Pr
2.0855 -6.2148 0.0000 Pr
0.0000 0.0000 2.0628 Ga
2.0855 3.6236 2.0628 Ga
2.0855 0.0000 0.0000 Ga
2.0855 -3.6236 2.0628 Ga
2.0855 1.2547 2.0628 Ni
2.0855 -1.2547 2.0628 Ni

***

CdMo3 meta-GGA SCAN single point on PBEsol structure; E = -33.262 eV per atom; crystal system = trigonal; space group = No. 166; DFT formation energy = 0.51 eV/atom
1.0
1.3959 0.8059 9.6640
-1.3959 0.8059 9.6640
0.0000 -1.6118 9.6640
Cd Mo
1 3
Cartesian
0.0000 0.0000 0.0000 Cd
0.0000 0.0000 7.1269 Mo
0.0000 0.0000 14.4959 Mo
0.0000 0.0000 21.8650 Mo